*a*
## KPdPt3 (GGA-PBE)

Data for crystalline KPdPt3 at its relaxed geometry.

Summary:
The calculation puts the mass density at 9.9 Mg/m³. For the density of states at the Fermi level, the calculation gives 6.954 states/eV/cell.

Geometry as extended XYZ:
```
5
Lattice="4.965 0.000 0.000 0.000 4.965 0.000 0.000 0.000 4.965" Properties=species:S:1:pos:R:3 pbc="T T T"
K 2.483 2.483 2.483
Pt 0.000 2.483 0.000
Pt 2.483 0.000 0.000
Pt 0.000 0.000 2.483
Pd 0.000 0.000 0.000
```


*b*
## KPdPt3 (GGA-PBE)

Data for crystalline KPdPt3 at its relaxed geometry.

Summary:
The calculation puts the mass density at 10.7 Mg/m³. For the density of states at the Fermi level, the calculation gives 6.842 states/eV/cell.

Geometry as extended XYZ:
```
5
Lattice="4.848 0.000 0.000 0.000 4.848 0.000 0.000 0.000 4.848" Properties=species:S:1:pos:R:3 pbc="T T T"
Pt 0.000 0.000 2.424
Pt 2.424 0.000 0.000
Pt 0.000 2.424 0.000
K 0.000 0.000 0.000
Pd 2.424 2.424 2.424
```


On energetic grounds, *a* is preferred over the next structure by 130.0 kJ/mol of atoms.